A) VASP calculation (PBE) on a relaxed Ho2BeCo crystal.

Its volume is 18.80 Å³ per atom. The calculation puts the total magnetization at 0.000 μB per atom.

Unit cell a=6.700 b=6.700 c=6.700 alpha=90.00 beta=90.00 gamma=90.00
Space group Fm-3m (No. 225)
Inequivalent atoms, fractional coordinates:
Ho 0.250 0.250 0.250
Be 0.000 0.000 0.000
Co 0.000 0.000 0.500

=====

B) VASP calculation (PBE) on a relaxed Ho2BeCo crystal.

Its volume is 19.86 Å³ per atom. The calculation puts the total magnetization at 0.000 μB per atom.

Unit cell a=3.848 b=3.844 c=10.744 alpha=90.00 beta=90.00 gamma=90.00
Space group Amm2 (No. 38)
Inequivalent atoms, fractional coordinates:
Ho 0.000 0.000 0.000
Ho 0.500 0.000 0.277
Be 0.000 0.000 0.692
Co 0.500 0.000 0.588

=====

C) VASP calculation (PBE) on a relaxed Ho2BeCo crystal.

Its volume is 21.21 Å³ per atom. The calculation puts the total magnetization at 0.000 μB per atom.

Unit cell a=3.8105 b=3.8105 c=20.2324 alpha=90.00 beta=90.00 gamma=120.00
Space group R3m (No. 160, hexagonal axes)
Inequivalent atoms, fractional coordinates:
Ho 0.0000 0.0000 0.0000
Ho 0.0000 0.0000 0.1752
Be 0.0000 0.0000 0.4208
Co 0.0000 0.0000 0.7546

=====

Least stable: A)

=====

A) VASP calculation (PBE) on a relaxed Ho2BeCo crystal.

Its volume is 26.15 Å³ per atom. The calculation puts the total magnetization at 0.000 μB per atom.

Unit cell a=3.6640 b=3.6640 c=26.9872 alpha=90.00 beta=90.00 gamma=120.00
Space group R-3m (No. 166, hexagonal axes)
Inequivalent atoms, fractional coordinates:
Ho 0.0000 0.0000 0.1101
Be 0.0000 0.0000 0.0000
Co 0.0000 0.0000 0.5000

=====

B) VASP calculation (PBE) on a relaxed Ho2BeCo crystal.

Its volume is 18.91 Å³ per atom. The calculation puts the total magnetization at 0.082 μB per atom.

Unit cell a=3.360 b=3.360 c=6.701 alpha=90.00 beta=90.00 gamma=90.00
Space group P4/mmm (No. 123)
Inequivalent atoms, fractional coordinates:
Ho 0.000 0.000 0.245
Be 0.500 0.500 0.500
Co 0.500 0.500 0.000

=====

Least stable: A)

=====

A) VASP calculation (PBE) on a relaxed HoBeCo crystal.

Its volume is 16.37 Å³ per atom. The calculation puts the total magnetization at 0.000 μB per atom.

Unit cell a=3.957 b=3.957 c=6.271 alpha=90.00 beta=90.00 gamma=90.00
Space group P4/nmm (No. 129, origin choice 2)
Inequivalent atoms, fractional coordinates:
Ho 0.250 0.250 0.192
Be 0.250 0.250 0.654
Co 0.250 0.750 0.500

=====

B) VASP calculation (PBE) on a relaxed HoBeCo crystal.

Its volume is 15.30 Å³ per atom. The calculation puts the total magnetization at 0.000 μB per atom.

Unit cell a=6.683 b=4.038 c=6.802 alpha=90.00 beta=90.00 gamma=90.00
Space group Pnma (No. 62)
Inequivalent atoms, fractional coordinates:
Ho 0.010 0.250 0.196
Be 0.181 0.250 0.589
Co 0.162 0.750 0.434

=====

C) VASP calculation (PBE) on a relaxed HoBeCo crystal.

Its volume is 17.07 Å³ per atom. The calculation puts the total magnetization at 0.000 μB per atom.

Unit cell a=3.6666 b=3.6666 c=13.1945 alpha=90.00 beta=90.00 gamma=120.00
Space group R3m (No. 160, hexagonal axes)
Inequivalent atoms, fractional coordinates:
Ho 0.0000 0.0000 0.0000
Be 0.0000 0.0000 0.7979
Co 0.0000 0.0000 0.4866

=====

Least stable: C)

=====

A) VASP calculation (PBE) on a relaxed Ho2BeCo2 crystal.

Its volume is 16.71 Å³ per atom. The calculation puts the total magnetization at 0.000 μB per atom.

Unit cell a=3.673 b=5.505 c=8.264 alpha=90.00 beta=90.00 gamma=90.00
Space group Immm (No. 71)
Inequivalent atoms, fractional coordinates:
Ho 0.000 0.000 0.196
Be 0.000 0.500 0.000
Co 0.000 0.238 0.500

=====

B) VASP calculation (PBE) on a relaxed Ho2BeCo2 crystal.

Its volume is 16.73 Å³ per atom. The calculation puts the total magnetization at 0.000 μB per atom.

Unit cell a=9.430 b=5.230 c=6.972 alpha=90.00 beta=103.27 gamma=90.00
Space group C2/c (No. 15)
Inequivalent atoms, fractional coordinates:
Ho 0.148 0.135 0.148
Be 0.000 0.393 0.750
Co 0.128 0.370 0.508

=====

Least stable: B)

=====

A) VASP calculation (PBE) on a relaxed BeCoI crystal.

Its volume is 15.85 Å³ per atom. The calculation puts the total magnetization at 0.000 μB per atom.

Unit cell a=5.393 b=8.249 c=4.276 alpha=90.00 beta=90.00 gamma=90.00
Space group Pnma (No. 62)
Inequivalent atoms, fractional coordinates:
Be 0.002 0.250 0.177
Co 0.249 0.750 0.249
I 0.000 0.000 0.500

=====

B) VASP calculation (PBE) on a relaxed BeCoI crystal.

Its volume is 18.68 Å³ per atom. The calculation puts the total magnetization at 0.055 μB per atom.

Unit cell a=3.730 b=3.730 c=9.302 alpha=90.14 beta=90.05 gamma=119.99
Space group P1 (No. 1)
Inequivalent atoms, fractional coordinates:
Be 0.000 0.000 0.000
Be 0.333 0.666 0.879
Co 0.666 0.333 0.929
Co 0.999 0.998 0.765
I 0.331 0.663 0.609
I 0.669 0.336 0.194

=====

C) VASP calculation (PBE) on a relaxed BeCoI crystal.

Its volume is 15.48 Å³ per atom. The calculation puts the total magnetization at 0.000 μB per atom.

Unit cell a=4.5383 b=4.5383 c=5.2067 alpha=90.00 beta=90.00 gamma=120.00
Space group P6_3/mmc (No. 194)
Inequivalent atoms, fractional coordinates:
Be 0.0000 0.0000 0.0000
Co 0.3333 0.6667 0.2500
I 0.3333 0.6667 0.7500

=====

Least stable: C)

=====

A) VASP calculation (PBE) on a relaxed BeCoI crystal.

Its volume is 15.61 Å³ per atom. The calculation puts the total magnetization at 0.000 μB per atom.

Unit cell a=5.722 b=5.722 c=5.722 alpha=90.00 beta=90.00 gamma=90.00
Space group F-43m (No. 216)
Inequivalent atoms, fractional coordinates:
Be 0.000 0.000 0.000
Co 0.250 0.250 0.250
I 0.000 0.000 0.500

=====

B) VASP calculation (PBE) on a relaxed BeCoI crystal.

Its volume is 18.96 Å³ per atom. The calculation puts the total magnetization at 0.320 μB per atom.

Unit cell a=6.416 b=3.705 c=9.812 alpha=90.00 beta=102.69 gamma=90.00
Space group Cm (No. 8)
Inequivalent atoms, fractional coordinates:
Be 0.000 0.000 0.000
Be 0.167 0.500 0.000
Co 0.293 0.000 0.881
Co 0.373 0.000 0.119
I 0.071 0.500 0.716
I 0.262 0.500 0.284

=====

Least stable: A)

=====

A) VASP calculation (PBE) on a relaxed BeCoI2 crystal.

Its volume is 23.36 Å³ per atom. The calculation puts the total magnetization at 0.250 μB per atom.

Unit cell a=5.735 b=5.735 c=11.364 alpha=90.00 beta=90.00 gamma=90.00
Space group I-42d (No. 122)
Inequivalent atoms, fractional coordinates:
Be 0.000 0.000 0.000
Co 0.000 0.000 0.500
I 0.244 0.250 0.125

=====

B) VASP calculation (PBE) on a relaxed BeCoI2 crystal.

Its volume is 21.45 Å³ per atom. The calculation puts the total magnetization at 0.538 μB per atom.

Unit cell a=7.002 b=7.002 c=7.002 alpha=90.00 beta=90.00 gamma=90.00
Space group Fm-3m (No. 225)
Inequivalent atoms, fractional coordinates:
Be 0.000 0.000 0.000
Co 0.000 0.000 0.500
I 0.250 0.250 0.250

=====

Least stable: B)

=====

A) VASP calculation (PBE) on a relaxed BeCo2I crystal.

Its volume is 13.07 Å³ per atom. The calculation puts the total magnetization at 0.385 μB per atom.

Unit cell a=5.936 b=5.936 c=5.936 alpha=90.00 beta=90.00 gamma=90.00
Space group Fm-3m (No. 225)
Inequivalent atoms, fractional coordinates:
Be 0.000 0.000 0.000
Co 0.250 0.250 0.250
I 0.000 0.000 0.500

=====

B) VASP calculation (PBE) on a relaxed BeCo2I crystal.

Its volume is 14.77 Å³ per atom. The calculation puts the total magnetization at 0.457 μB per atom.

Unit cell a=3.896 b=3.896 c=15.570 alpha=90.00 beta=90.00 gamma=90.00
Space group I-42d (No. 122)
Inequivalent atoms, fractional coordinates:
Be 0.000 0.000 0.000
Co 0.191 0.250 0.125
I 0.000 0.000 0.500

=====

Least stable: A)